Computed, not measured: MgRe2Pb after structural relaxation at the PBE level of DFT.

Lattice parameters (Å, degrees): 2.8019 2.8019 10.0021 90.00 90.00 109.75
With the nearest neighbours (Å) after each atom.
Fractional positions:
Mg  0.0000  0.0000  0.0000  4 Re 2.79, 4 Mg 2.80
Re  0.5000  0.5000  0.2277  2 Mg 2.79, 4 Re 2.80
Re  0.5000  0.5000  0.7723  2 Mg 2.79, 4 Re 2.80
Pb  0.0000  0.0000  0.5000  4 Pb 2.80

ΔH_f (0 K)	0.93	eV/atom
distance to the lowest polymorph of the same formula	0.700	eV per atom


Computed, not measured: MgReRh2Pb after structural relaxation at the PBE level of DFT.

Lattice parameters (Å, degrees): 4.4791 4.4791 4.9383 90.00 90.00 90.00
With the nearest neighbours (Å) after each atom.
Fractional positions:
Mg  0.0000  0.0000  0.0000  4 Rh 2.24, 2 Pb 2.47
Re  0.5000  0.5000  0.5000  4 Pb 3.17, 8 Rh 3.33
Rh  0.0000  0.5000  0.0000  2 Mg 2.24
Rh  0.5000  0.0000  0.0000  2 Mg 2.24
Pb  0.0000  0.0000  0.5000  2 Mg 2.47

ΔH_f (0 K)	1.60	eV/atom


Computed, not measured: Mg2ScRePb after structural relaxation at the PBE level of DFT.

Lattice parameters (Å, degrees): 5.0304 5.0304 5.2211 90.00 90.00 90.00
With the nearest neighbours (Å) after each atom.
Fractional positions:
Mg  0.0000  0.5000  0.0000  2 Re 2.52
Mg  0.5000  0.0000  0.0000  2 Re 2.52
Sc  0.0000  0.0000  0.5000  4 Pb 3.56, 8 Mg 3.63
Re  0.5000  0.5000  0.0000  4 Mg 2.52, 2 Pb 2.61
Pb  0.5000  0.5000  0.5000  2 Re 2.61

ΔH_f (0 K)	0.73	eV/atom